Record 1
A geometry-optimized BaHfMo structure. Source: Alexandria, functional GGA-PBE.

Values from the calculation:
E_tot	-6.386	eV per atom
energy relative to the elements	1.183	eV/atom
calculated volume	81.6	Å³/f.u.

Cell: 4.8694 4.8694 4.8694 Å, 60.00 60.00 60.00°
Closest atoms and distances in Å follow each position.
Atoms (fractional coordinates):
Ba: 0.7500 0.7500 0.7500  4 Mo 2.98
Hf: 0.2500 0.2500 0.2500  4 Mo 2.98
Mo: 0.5000 0.5000 0.5000  4 Ba 2.98, 4 Hf 2.98

Record 2
A geometry-optimized BaHfMo3 structure. Source: Alexandria, functional GGA-PBE.

Values from the calculation:
E_tot	-6.077	eV per atom
energy relative to the elements	2.797	eV/atom
calculated volume	119.3	Å³/f.u.
offset from the most stable computed form	533	kJ/mol of formula units

Cell: 4.9232 4.9232 4.9232 Å, 90.00 90.00 90.00°
Closest atoms and distances in Å follow each position.
Atoms (fractional coordinates):
Mo: 0.5000 0.0000 0.0000  2 Ba 2.46
Mo: 0.0000 0.5000 0.0000  2 Ba 2.46
Mo: 0.0000 0.0000 0.5000  2 Ba 2.46
Hf: 0.5000 0.5000 0.5000  12 Mo 3.48
Ba: 0.0000 0.0000 0.0000  6 Mo 2.46

Record 3
A geometry-optimized BaHfMo2 structure. Source: Alexandria, functional GGA-PBE.

Values from the calculation:
E_tot	-7.093	eV per atom
energy relative to the elements	1.291	eV/atom
calculated volume	118.9	Å³/f.u.
offset from the most stable computed form	67	kJ/mol of formula units

Cell: 4.9937 4.9937 10.1695 Å, 75.79 75.79 90.00°
Closest atoms and distances in Å follow each position.
Atoms (fractional coordinates):
Mo: 0.8459 0.6250 0.2500  2 Mo 2.51, 2 Hf 2.70
Mo: 0.9041 0.1250 0.2500  2 Mo 2.51, 2 Hf 2.70
Mo: 0.8750 0.1541 0.7500  2 Mo 2.51, 2 Hf 2.70
Mo: 0.3750 0.0959 0.7500  2 Mo 2.51, 2 Hf 2.70
Ba: 0.5000 0.5000 0.0000  4 Hf 3.53, 8 Mo 3.57-3.77
Ba: 0.2500 0.7500 0.5000  4 Hf 3.53, 8 Mo 3.57-3.77
Hf: 0.0000 0.0000 0.0000  4 Mo 2.70
Hf: 0.7500 0.2500 0.5000  4 Mo 2.70

Record 4
A geometry-optimized BaHfMo2 structure. Source: Alexandria, functional GGA-PBE.

Values from the calculation:
E_tot	-7.268	eV per atom
energy relative to the elements	1.117	eV/atom
calculated volume	85.5	Å³/f.u.
offset from the most stable computed form	0	kJ/mol of formula units

Cell: 4.9458 4.9458 4.9458 Å, 60.00 60.00 60.00°
Closest atoms and distances in Å follow each position.
Atoms (fractional coordinates):
Hf: 0.5000 0.5000 0.5000  8 Mo 3.03
Mo: 0.7500 0.7500 0.7500  4 Ba 3.03, 4 Hf 3.03
Mo: 0.2500 0.2500 0.2500  4 Ba 3.03, 4 Hf 3.03
Ba: 0.0000 0.0000 0.0000  8 Mo 3.03

Among the records above, which one has the highest energy relative to the elements?
BaHfMo3